[1]
! VSi4W | Alexandria | GGA-PBE | optimized geometry; values from VASP
! Total energy (eV/cell): -46.124
! Calculated volume (Å³ per cell): 79.6
! DOS(E_F) (states/eV per cell): 1.9
! Formation energy without anion corrections (meV/atom): -393
&SYSTEM
  ibrav = 0, nat = 6, ntyp = 3
/
ATOMIC_SPECIES
V 50.94 V.upf
Si 28.09 Si.upf
W 183.84 W.upf
CELL_PARAMETERS angstrom
4.229 -1.596 0.000
4.229 1.596 0.000
-2.392 0.000 5.898
ATOMIC_POSITIONS crystal
V 0.000 0.000 0.000
Si 0.334 0.334 0.161
Si 0.336 0.336 0.675
Si 0.664 0.664 0.325
Si 0.666 0.666 0.839
W 0.000 0.000 0.500

***

[2]
! V3SiW | Alexandria | GGA-PBE | optimized geometry; values from VASP
! Total energy (eV/cell): -38.418
! Calculated volume (Å³ per cell): 94.8
! DOS(E_F) (states/eV per cell): 3.3
! Formation energy without anion corrections (meV/atom): 1463
&SYSTEM
  ibrav = 0, nat = 5, ntyp = 3
/
ATOMIC_SPECIES
V 50.94 V.upf
Si 28.09 Si.upf
W 183.84 W.upf
CELL_PARAMETERS angstrom
4.559 0.000 0.000
0.000 4.559 0.000
0.000 0.000 4.559
ATOMIC_POSITIONS crystal
V 0.000 0.000 0.500
V 0.000 0.500 0.000
V 0.500 0.000 0.000
Si 0.500 0.500 0.500
W 0.000 0.000 0.000

***

[3]
! VSiW | Alexandria | GGA-PBE | optimized geometry; values from VASP
! Total energy (eV/cell): -55.997
! Calculated volume (Å³ per cell): 85.6
! DOS(E_F) (states/eV per cell): 2.8
! Formation energy without anion corrections (meV/atom): -168
&SYSTEM
  ibrav = 0, nat = 6, ntyp = 3
/
ATOMIC_SPECIES
V 50.94 V.upf
Si 28.09 Si.upf
W 183.84 W.upf
CELL_PARAMETERS angstrom
2.756 0.000 0.000
0.897 5.132 0.000
0.926 1.304 6.053
ATOMIC_POSITIONS crystal
V 0.000 0.000 0.000
V 0.162 0.160 0.348
Si 0.506 0.261 0.673
Si 0.982 0.788 0.675
W 0.493 0.496 0.995
W 0.658 0.662 0.353

***

[4]
! VSi2W2 | Alexandria | GGA-PBE | optimized geometry; values from VASP
! Total energy (eV/cell): -44.431
! Calculated volume (Å³ per cell): 81.6
! DOS(E_F) (states/eV per cell): 6.5
! Formation energy without anion corrections (meV/atom): 288
&SYSTEM
  ibrav = 0, nat = 5, ntyp = 3
/
ATOMIC_SPECIES
V 50.94 V.upf
Si 28.09 Si.upf
W 183.84 W.upf
CELL_PARAMETERS angstrom
-1.926 1.926 5.503
1.926 -1.926 5.503
1.926 1.926 -5.503
ATOMIC_POSITIONS crystal
V 0.000 0.000 0.000
Si 0.399 0.399 0.000
Si 0.601 0.601 0.000
W 0.250 0.750 0.500
W 0.750 0.250 0.500

***

[5]
! V5Si6W5 | Alexandria | GGA-PBE | optimized geometry; values from VASP
! Total energy (eV/cell): -149.292
! Calculated volume (Å³ per cell): 223.3
! DOS(E_F) (states/eV per cell): 10.7
! Formation energy without anion corrections (meV/atom): -400
&SYSTEM
  ibrav = 0, nat = 16, ntyp = 3
/
ATOMIC_SPECIES
V 50.94 V.upf
Si 28.09 Si.upf
W 183.84 W.upf
CELL_PARAMETERS angstrom
6.711 -2.475 0.000
6.711 2.475 0.000
-6.674 0.000 6.722
ATOMIC_POSITIONS crystal
V 0.000 0.000 0.000
V 0.051 0.051 0.550
V 0.501 0.501 0.853
V 0.553 0.553 0.407
V 0.702 0.702 0.855
Si 0.023 0.527 0.705
Si 0.106 0.106 0.864
Si 0.452 0.452 0.546
Si 0.527 0.023 0.705
Si 0.605 0.605 0.199
Si 0.945 0.945 0.202
W 0.026 0.526 0.202
W 0.202 0.202 0.405
W 0.351 0.351 0.002
W 0.526 0.026 0.202
W 0.851 0.851 0.554

***

[6]
! VSi6W2 | Alexandria | GGA-PBE | optimized geometry; values from VASP
! Total energy (eV/cell): -70.863
! Calculated volume (Å³ per cell): 120.2
! DOS(E_F) (states/eV per cell): 2.5
! Formation energy without anion corrections (meV/atom): -367
&SYSTEM
  ibrav = 0, nat = 9, ntyp = 3
/
ATOMIC_SPECIES
V 50.94 V.upf
Si 28.09 Si.upf
W 183.84 W.upf
CELL_PARAMETERS angstrom
2.308 -4.012 0.000
2.308 4.012 0.000
0.000 0.000 6.493
ATOMIC_POSITIONS crystal
V 0.000 0.000 0.000
Si 0.172 0.333 0.328
Si 0.333 0.172 0.672
Si 0.340 0.660 0.000
Si 0.660 0.340 0.000
Si 0.667 0.828 0.672
Si 0.828 0.667 0.328
W 0.000 0.500 0.666
W 0.500 0.000 0.334

***

[7]
! YV2Si | Alexandria | GGA-PBE | optimized geometry; values from VASP
! Total energy (eV/cell): -29.268
! Calculated volume (Å³ per cell): 63.9
! DOS(E_F) (states/eV per cell): 7.6
! Formation energy without anion corrections (meV/atom): 214
&SYSTEM
  ibrav = 0, nat = 4, ntyp = 3
/
ATOMIC_SPECIES
Y 88.91 Y.upf
V 50.94 V.upf
Si 28.09 Si.upf
CELL_PARAMETERS angstrom
0.000 3.173 3.173
3.173 0.000 3.173
3.173 3.173 0.000
ATOMIC_POSITIONS crystal
Y 0.000 0.000 0.000
V 0.250 0.250 0.250
V 0.750 0.750 0.750
Si 0.500 0.500 0.500

***

[8]
! Y2V3Si4 | Alexandria | GGA-PBE | optimized geometry; values from VASP
! Total energy (eV/cell): -135.878
! Calculated volume (Å³ per cell): 295.5
! DOS(E_F) (states/eV per cell): 11.8
! Formation energy without anion corrections (meV/atom): -663
&SYSTEM
  ibrav = 0, nat = 18, ntyp = 3
/
ATOMIC_SPECIES
Y 88.91 Y.upf
V 50.94 V.upf
Si 28.09 Si.upf
CELL_PARAMETERS angstrom
6.831 0.000 0.000
0.000 6.828 0.000
-2.203 0.000 6.335
ATOMIC_POSITIONS crystal
Y 0.187 0.168 0.061
Y 0.187 0.332 0.561
Y 0.813 0.668 0.439
Y 0.813 0.832 0.939
V 0.260 0.671 0.249
V 0.260 0.829 0.749
V 0.500 0.000 0.500
V 0.500 0.500 0.000
V 0.740 0.171 0.251
V 0.740 0.329 0.751
Si 0.092 0.545 0.873
Si 0.092 0.955 0.373
Si 0.499 0.629 0.630
Si 0.499 0.871 0.130
Si 0.501 0.129 0.870
Si 0.501 0.371 0.370
Si 0.908 0.045 0.627
Si 0.908 0.455 0.127

***

[9]
! Y3VSi | Alexandria | GGA-PBE | optimized geometry; values from VASP
! Total energy (eV/cell): -32.146
! Calculated volume (Å³ per cell): 156.8
! DOS(E_F) (states/eV per cell): 7.7
! Formation energy without anion corrections (meV/atom): 358
&SYSTEM
  ibrav = 0, nat = 5, ntyp = 3
/
ATOMIC_SPECIES
Y 88.91 Y.upf
V 50.94 V.upf
Si 28.09 Si.upf
CELL_PARAMETERS angstrom
5.392 0.000 0.000
0.000 5.392 0.000
0.000 0.000 5.392
ATOMIC_POSITIONS crystal
Y 0.000 0.000 0.500
Y 0.000 0.500 0.000
Y 0.500 0.000 0.000
V 0.500 0.500 0.500
Si 0.000 0.000 0.000

***

[10]
! YV2Si | Alexandria | GGA-PBE | optimized geometry; values from VASP
! Total energy (eV/cell): -58.579
! Calculated volume (Å³ per cell): 158.7
! DOS(E_F) (states/eV per cell): 7.8
! Formation energy without anion corrections (meV/atom): 209
&SYSTEM
  ibrav = 0, nat = 8, ntyp = 3
/
ATOMIC_SPECIES
Y 88.91 Y.upf
V 50.94 V.upf
Si 28.09 Si.upf
CELL_PARAMETERS angstrom
-2.080 2.080 9.167
2.080 -2.080 9.167
2.080 2.080 -9.167
ATOMIC_POSITIONS crystal
Y 0.000 0.000 0.000
Y 0.750 0.250 0.500
V 0.297 0.625 0.172
V 0.375 0.547 0.672
V 0.453 0.125 0.828
V 0.875 0.703 0.328
Si 0.250 0.750 0.500
Si 0.500 0.500 0.000

***

[11]
! V3ZnSi | Alexandria | GGA-PBE | optimized geometry; values from VASP
! Total energy (eV/cell): -30.391
! Calculated volume (Å³ per cell): 86.3
! DOS(E_F) (states/eV per cell): 7.9
! Formation energy without anion corrections (meV/atom): 732
&SYSTEM
  ibrav = 0, nat = 5, ntyp = 3
/
ATOMIC_SPECIES
V 50.94 V.upf
Zn 65.41 Zn.upf
Si 28.09 Si.upf
CELL_PARAMETERS angstrom
4.419 0.000 0.000
0.000 4.419 0.000
0.000 0.000 4.419
ATOMIC_POSITIONS crystal
V 0.000 0.000 0.500
V 0.000 0.500 0.000
V 0.500 0.000 0.000
Zn 0.500 0.500 0.500
Si 0.000 0.000 0.000

***

[12]
! VZnSi | Alexandria | GGA-PBE | optimized geometry; values from VASP
! Total energy (eV/cell): -30.708
! Calculated volume (Å³ per cell): 89.0
! DOS(E_F) (states/eV per cell): 4.2
! Formation energy without anion corrections (meV/atom): 154
&SYSTEM
  ibrav = 0, nat = 6, ntyp = 3
/
ATOMIC_SPECIES
V 50.94 V.upf
Zn 65.41 Zn.upf
Si 28.09 Si.upf
CELL_PARAMETERS angstrom
0.000 4.371 4.693
2.169 0.000 4.693
2.169 4.371 0.000
ATOMIC_POSITIONS crystal
V 0.250 0.250 0.250
V 0.750 0.750 0.750
Zn 0.157 0.843 0.157
Zn 0.843 0.157 0.843
Si 0.360 0.360 0.640
Si 0.640 0.640 0.360